A geometry-optimized Li4MnCo2NiO8 structure, computed with GGA+U.

* calculated volume: 9.10 A^3/atom
* relative energy among the computed polymorphs: 0.608 eV/f.u.
* size of the total moment: 13.00 μB per formula unit

a = 5.1627 Å, b = 2.9470 Å, c = 9.7498 Å
α = 90.00°, β = 101.16°, γ = 90.00°
With the nearest neighbours (Å) after each atom.
Space group P2/m (No. 10)
Inequivalent atoms, fractional coordinates:
Li 0.0000 0.0000 0.0000 (multiplicity 1)  6 O 2.15-2.19
Li 0.2447 0.5000 0.2385 (multiplicity 2)  3 O 2.00-2.03
Li 0.5000 0.0000 0.5000 (multiplicity 1)  6 O 2.14
Mn 0.0000 0.5000 0.5000 (multiplicity 1)  6 O 1.93-1.97
Co 0.2661 0.0000 0.7604 (multiplicity 2)  3 O 1.86-2.01
Ni 0.5000 0.5000 0.0000 (multiplicity 1)  6 O 2.09-2.10
O 0.1004 0.0000 0.3874 (multiplicity 2)  2 Mn 1.97, 1 Li 2.14, 1 Co 2.15
O 0.1294 0.5000 0.8668 (multiplicity 2)  3 Li 2.00-2.15, 2 Co 2.01, 1 Ni 2.09
O 0.3431 0.5000 0.6205 (multiplicity 2)  1 Mn 1.93, 2 Co 2.10, 2 Li 2.14
O 0.3934 0.0000 0.1326 (multiplicity 2)  1 Co 1.86, 2 Li 2.03